# 1
First-principles (PBE) data for a relaxed Na2CdSn3Au4 crystal, as listed in the Alexandria database.

abc: 4.7537 4.7537 11.1936
angles: 90.00 90.00 90.00
Closest atoms and distances in Å follow each position.
Positions (direct):
Na 0.5000 0.0000 0.2356  8 Au 3.55-3.67, 6 Sn 3.57-3.80, 2 Cd 3.80
Na 0.0000 0.5000 0.7644  8 Au 3.55-3.67, 6 Sn 3.57-3.80, 2 Cd 3.80
Cd 0.5000 0.5000 0.5000  4 Au 2.80
Sn 0.0000 0.0000 0.5000  4 Au 2.80
Sn 0.5000 0.0000 0.8719  5 Au 2.68-2.78
Sn 0.0000 0.5000 0.1281  5 Au 2.68-2.78
Au 0.5000 0.5000 0.0000  4 Sn 2.78
Au 0.0000 0.0000 0.0000  4 Sn 2.78
Au 0.5000 0.0000 0.6327  3 Sn 2.68-2.80, 2 Cd 2.80
Au 0.0000 0.5000 0.3673  3 Sn 2.68-2.80, 2 Cd 2.80

Properties
Space group   P-4m2 (115)
Total DFT energy (no corrections)   -31.1 eV/cell



# 2
First-principles (PBE) data for a relaxed NaSrCd2Au2 crystal, as listed in the Alexandria database.

abc: 4.8875 4.8875 7.2510
angles: 90.00 90.00 120.00
Closest atoms and distances in Å follow each position.
Positions (direct):
Na 0.0000 0.0000 0.5000  6 Cd 3.15, 6 Au 3.29
Sr 0.0000 0.0000 0.0000  6 Au 3.43, 6 Cd 3.60, 2 Na 3.63
Cd 0.6667 0.3333 0.6928  4 Au 2.84-3.08, 3 Na 3.15
Cd 0.3333 0.6667 0.3072  4 Au 2.84-3.08, 3 Na 3.15
Au 0.6667 0.3333 0.2678  4 Cd 2.84-3.08
Au 0.3333 0.6667 0.7322  4 Cd 2.84-3.08

Properties
Space group   P-3m1 (164)
Total DFT energy (no corrections)   -14.1 eV/cell



# 3
First-principles (PBE) data for a relaxed Na2SrCd2Au2 crystal, as listed in the Alexandria database.

abc: 4.8744 4.8744 9.6864
angles: 75.43 75.43 60.00
Closest atoms and distances in Å follow each position.
Positions (direct):
Na 0.1317 0.1317 0.6048  4 Cd 3.20-3.47, 3 Au 3.30, 3 Na 3.42
Na 0.8683 0.8683 0.3952  4 Cd 3.20-3.47, 3 Au 3.30, 3 Na 3.42
Sr 0.0000 0.0000 0.0000  6 Au 3.42, 6 Cd 3.53, 2 Na 3.66
Cd 0.7435 0.7435 0.7696  3 Au 2.82
Cd 0.2565 0.2565 0.2304  3 Au 2.82
Au 0.5968 0.5968 0.2097  3 Cd 2.82
Au 0.4032 0.4032 0.7903  3 Cd 2.82

Properties
Space group   R-3m (166)
Total DFT energy (no corrections)   -15.2 eV/cell



# 4
First-principles (PBE) data for a relaxed NaTbCdAu crystal, as listed in the Alexandria database.

abc: 5.1018 5.1018 5.1018
angles: 60.00 60.00 60.00
Closest atoms and distances in Å follow each position.
Positions (direct):
Na 0.2500 0.2500 0.2500  4 Cd 3.12, 4 Au 3.12
Tb 0.7500 0.7500 0.7500  4 Au 3.12, 4 Cd 3.12
Au 0.5000 0.5000 0.5000  4 Na 3.12, 4 Tb 3.12
Cd 0.0000 0.0000 0.0000  4 Tb 3.12, 4 Na 3.12

Properties
Space group   F-43m (216)
Total DFT energy (no corrections)   -11.5 eV/cell



# 5
First-principles (PBE) data for a relaxed NaCd2TcAu crystal, as listed in the Alexandria database.

abc: 5.2803 5.2562 5.2803
angles: 90.00 90.00 90.00
Closest atoms and distances in Å follow each position.
Positions (direct):
Na 0.5000 0.5000 0.5000  8 Cd 3.73, 4 Tc 3.73
Au 0.0000 0.0000 0.0000  2 Tc 2.63, 4 Cd 2.64
Tc 0.0000 0.5000 0.0000  2 Au 2.63
Cd 0.0000 0.0000 0.5000  2 Au 2.64
Cd 0.5000 0.0000 0.0000  2 Au 2.64

Properties
Space group   P4/mmm (123)
Total DFT energy (no corrections)   -13.2 eV/cell



# 6
First-principles (PBE) data for a relaxed NaThCdAu crystal, as listed in the Alexandria database.

abc: 5.1958 5.1958 5.1958
angles: 60.00 60.00 60.00
Closest atoms and distances in Å follow each position.
Positions (direct):
Na 0.0000 0.0000 0.0000  4 Au 3.18, 4 Cd 3.18
Au 0.2500 0.2500 0.2500  4 Na 3.18, 4 Th 3.18
Th 0.5000 0.5000 0.5000  4 Cd 3.18, 4 Au 3.18
Cd 0.7500 0.7500 0.7500  4 Na 3.18, 4 Th 3.18

Properties
Space group   F-43m (216)
Total DFT energy (no corrections)   -13.8 eV/cell



# 7
First-principles (PBE) data for a relaxed Na4Tl2Cd2Au crystal, as listed in the Alexandria database.

abc: 6.1533 8.0553 7.5787
angles: 122.55 128.71 65.04
Closest atoms and distances in Å follow each position.
Positions (direct):
Na 0.6662 0.7684 0.9942  3 Cd 3.17-3.26, 3 Tl 3.21-3.42, 1 Au 3.28, 1 Na 3.40
Na 0.4564 0.7597 0.4206  3 Cd 3.18-3.31, 3 Tl 3.33-3.53, 2 Au 3.49-3.56, 1 Na 3.56
Na 0.3338 0.2316 0.0058  3 Cd 3.17-3.26, 3 Tl 3.21-3.42, 1 Au 3.28, 1 Na 3.40
Na 0.5436 0.2403 0.5794  3 Cd 3.18-3.31, 3 Tl 3.33-3.53, 2 Au 3.49-3.56, 1 Na 3.56
Tl 0.8702 0.4293 0.1887  1 Au 2.90, 2 Cd 3.08-3.22, 1 Na 3.21
Tl 0.1298 0.5707 0.8113  1 Au 2.90, 2 Cd 3.08-3.22, 1 Na 3.21
Cd 0.0298 0.8486 0.5743  1 Au 2.87, 1 Cd 3.01, 1 Tl 3.08, 2 Na 3.17-3.18
Cd 0.9702 0.1514 0.4257  1 Au 2.87, 1 Cd 3.01, 1 Tl 3.08, 2 Na 3.17-3.18
Au 0.0000 0.0000 0.0000  2 Cd 2.87, 2 Tl 2.90

Properties
Space group   P-1 (2)
Total DFT energy (no corrections)   -16.3 eV/cell



# 8
First-principles (PBE) data for a relaxed NaTmCd2Au4 crystal, as listed in the Alexandria database.

abc: 4.8725 4.8725 8.4783
angles: 73.30 73.30 60.00
Closest atoms and distances in Å follow each position.
Positions (direct):
Na 0.0000 0.0000 0.0000  8 Au 3.01-3.04
Tm 0.5000 0.5000 0.5000  8 Au 2.94-2.97
Cd 0.7464 0.7464 0.7608  8 Au 2.94-3.04
Cd 0.2536 0.2536 0.2392  8 Au 2.94-3.04
Au 0.3774 0.3774 0.8679  4 Cd 2.94-2.97, 1 Tm 2.94, 3 Na 3.01
Au 0.8732 0.8732 0.3805  3 Tm 2.97, 4 Cd 3.03-3.04, 1 Na 3.04
Au 0.1268 0.1268 0.6195  3 Tm 2.97, 4 Cd 3.03-3.04, 1 Na 3.04
Au 0.6226 0.6226 0.1321  4 Cd 2.94-2.97, 1 Tm 2.94, 3 Na 3.01

Properties
Space group   R-3m (166)
Total DFT energy (no corrections)   -24.4 eV/cell



# 9
First-principles (PBE) data for a relaxed NaTmCdAu crystal, as listed in the Alexandria database.

abc: 5.0489 5.0489 5.0489
angles: 60.00 60.00 60.00
Closest atoms and distances in Å follow each position.
Positions (direct):
Na 0.7500 0.7500 0.7500  4 Au 3.09, 4 Cd 3.09
Tm 0.2500 0.2500 0.2500  4 Cd 3.09, 4 Au 3.09
Au 0.5000 0.5000 0.5000  4 Tm 3.09, 4 Na 3.09
Cd 0.0000 0.0000 0.0000  4 Na 3.09, 4 Tm 3.09

Properties
Space group   F-43m (216)
Total DFT energy (no corrections)   -11.3 eV/cell



# 10
First-principles (PBE) data for a relaxed NaYCdAu crystal, as listed in the Alexandria database.

abc: 5.0981 5.0981 5.0981
angles: 60.00 60.00 60.00
Closest atoms and distances in Å follow each position.
Positions (direct):
Y 0.7500 0.7500 0.7500  4 Au 3.12, 4 Cd 3.12
Na 0.2500 0.2500 0.2500  4 Cd 3.12, 4 Au 3.12
Au 0.5000 0.5000 0.5000  4 Y 3.12, 4 Na 3.12
Cd 0.0000 0.0000 0.0000  4 Y 3.12, 4 Na 3.12

Properties
Space group   F-43m (216)
Total DFT energy (no corrections)   -13.4 eV/cell



# 11
First-principles (PBE) data for a relaxed NaY2CdAu4 crystal, as listed in the Alexandria database.

abc: 4.9814 4.9814 8.5711
angles: 73.11 73.11 60.00
Closest atoms and distances in Å follow each position.
Positions (direct):
Na 0.0000 0.0000 0.0000  8 Au 3.00-3.04
Y 0.7523 0.7523 0.7431  8 Au 3.00-3.08
Y 0.2477 0.2477 0.2569  8 Au 3.00-3.08
Cd 0.5000 0.5000 0.5000  8 Au 3.05-3.06
Au 0.3740 0.3740 0.8779  3 Na 3.04, 1 Cd 3.05, 4 Y 3.06-3.08
Au 0.8759 0.8759 0.3722  4 Y 3.00-3.02, 1 Na 3.00, 3 Cd 3.06
Au 0.1241 0.1241 0.6278  4 Y 3.00-3.02, 1 Na 3.00, 3 Cd 3.06
Au 0.6260 0.6260 0.1221  3 Na 3.04, 1 Cd 3.05, 4 Y 3.06-3.08

Properties
Space group   R-3m (166)
Total DFT energy (no corrections)   -33.3 eV/cell



# 12
First-principles (PBE) data for a relaxed NaZn2Cd2Au2 crystal, as listed in the Alexandria database.

abc: 4.6599 4.6599 7.5184
angles: 71.95 71.95 60.00
Closest atoms and distances in Å follow each position.
Positions (direct):
Na 0.0000 0.0000 0.0000  2 Cd 2.91, 6 Zn 2.94, 6 Au 3.13
Zn 0.7227 0.7227 0.8320  4 Au 2.72-2.78, 1 Cd 2.93, 3 Na 2.94
Zn 0.2773 0.2773 0.1680  4 Au 2.72-2.78, 1 Cd 2.93, 3 Na 2.94
Cd 0.1383 0.1383 0.5852  1 Na 2.91, 4 Zn 2.93-3.20, 3 Cd 2.94, 3 Au 2.99
Cd 0.8617 0.8617 0.4148  1 Na 2.91, 4 Zn 2.93-3.20, 3 Cd 2.94, 3 Au 2.99
Au 0.5905 0.5905 0.2286  4 Zn 2.72-2.78, 3 Cd 2.99
Au 0.4095 0.4095 0.7714  4 Zn 2.72-2.78, 3 Cd 2.99

Properties
Space group   R-3m (166)
Total DFT energy (no corrections)   -13.3 eV/cell